Material: Ga2W4CN
Method: DFT, GGA-PBE
State: optimized geometry Values from VASP.

## Properties
uncorrected energy: -9.314 eV/atom

Quantum ESPRESSO input file:
```
&SYSTEM
  ibrav = 0, nat = 8, ntyp = 4
/
ATOMIC_SPECIES
C 12.01 C.upf
Ga 69.72 Ga.upf
N 14.01 N.upf
W 183.84 W.upf
CELL_PARAMETERS angstrom
-2.5549 -0.7865 -1.1230
2.4221 -0.2836 -1.5686
1.8115 -13.3155 5.2043
ATOMIC_POSITIONS crystal
C 0.0000 0.0000 0.0000
Ga 0.6667 0.3333 0.2467
Ga 0.3333 0.6667 0.7533
N 0.0000 0.0000 0.5000
W 0.3333 0.6667 0.0932
W 0.3333 0.6667 0.4009
W 0.6667 0.3333 0.5991
W 0.6667 0.3333 0.9068
```